LiYIr2 | PBE | relaxed

Output
Uncorrected energy: -6.873 eV per atom
V: 66.2 Å³ per cell
ΔE_f: -1.4 eV/f.u.

Cell: 2.9631 4.1840 5.5133 Å, 90.00 104.34 90.00°
Closest atoms and distances in Å follow each position.
Space group P2/m (No. 10)
Symmetry-distinct sites (fractional):
Li: 0.0000 0.0000 0.0000 (multiplicity 1)  4 Ir 2.50, 2 Y 2.79
Y: 0.5000 0.0000 0.5000 (multiplicity 1)  2 Li 2.79, 8 Ir 2.94-3.04, 2 Y 2.96
Ir: 0.1662 0.5000 0.7883 (multiplicity 2)  2 Li 2.50, 2 Ir 2.66-2.75


SmPuCu4 | PBE | relaxed

Output
Uncorrected energy: -5.946 eV per atom
V: 417.8 Å³ per cell
ΔE_f: -0.2 eV/f.u.
Distance to the lowest polymorph of the same formula: 27 meV per atom

Cell: 7.4755 7.4755 7.4755 Å, 90.00 90.00 90.00°
Closest atoms and distances in Å follow each position.
Space group F-43m (No. 216)
Symmetry-distinct sites (fractional):
Sm: 0.0000 0.0000 0.0000 (multiplicity 4)  12 Cu 3.10, 4 Pu 3.24
Pu: 0.2500 0.2500 0.2500 (multiplicity 4)  12 Cu 3.10, 4 Sm 3.24
Cu: 0.1249 0.1249 0.6249 (multiplicity 16)  6 Cu 2.64-2.65


LaTb2PmY6 | PBE | relaxed

Output
Uncorrected energy: -5.653 eV per atom
V: 1337.3 Å³ per cell
ΔE_f: 1.2 eV/f.u.

Cell: 9.2149 15.1412 9.6595 Å, 90.00 97.15 90.00°
Closest atoms and distances in Å follow each position.
Space group C2/c (No. 15)
Symmetry-distinct sites (fractional):
La: 0.0000 0.0280 0.2500 (multiplicity 4)  4 Tb 3.38-3.46, 4 Y 3.60-3.74
Tb: 0.2459 0.0514 0.5494 (multiplicity 8)  6 Y 3.33-3.59, 2 La 3.38-3.46, 1 Pm 3.57
Pm: 0.0000 0.4090 0.7500 (multiplicity 4)  6 Y 3.45-3.54, 2 Tb 3.57
Y: 0.0657 0.1853 0.9421 (multiplicity 8)  7 Y 3.43-3.78, 1 Tb 3.52, 1 La 3.74
Y: 0.0963 0.3913 0.1153 (multiplicity 8)  4 Y 3.26-3.53, 3 Tb 3.33-3.49, 2 Pm 3.45-3.54
Y: 0.2088 0.2274 0.3199 (multiplicity 8)  3 Y 3.26-3.60, 2 Tb 3.46-3.59, 1 Pm 3.52, 1 La 3.60


HoSiRh3 | PBE | relaxed

Output
Uncorrected energy: -7.209 eV per atom
E_form (uncorrected): -0.798 eV per atom
V: 327.4 Å³ per cell
Distance to the lowest polymorph of the same formula: 0 meV per atom

Cell: 8.1106 11.2823 3.5783 Å, 90.00 90.00 90.00°
Closest atoms and distances in Å follow each position.
Space group Cmmm (No. 65)
Symmetry-distinct sites (fractional):
Ho: 0.0000 0.2247 0.0000 (multiplicity 4)  11 Rh 2.93-3.22, 2 Si 3.06
Si: 0.2106 0.0000 0.0000 (multiplicity 4)  7 Rh 2.35-2.47
Rh: 0.0000 0.0000 0.5000 (multiplicity 2)  4 Si 2.47
Rh: 0.0000 0.5000 0.0000 (multiplicity 2)  2 Si 2.35
Rh: 0.1993 0.3722 0.5000 (multiplicity 8)  2 Si 2.41


Y2Er2Rh3 | PBE | relaxed

Output
Uncorrected energy: -7.064 eV per atom
V: 158.2 Å³ per cell
ΔE_f: -5.3 eV/f.u.
Distance to the lowest polymorph of the same formula: 21 meV per atom

Cell: 4.7548 4.8347 7.6637 Å, 71.65 72.07 89.78°
Closest atoms and distances in Å follow each position.
Space group P-1 (No. 2)
Symmetry-distinct sites (fractional):
Y: 0.1274 0.1266 0.2488 (multiplicity 2)  6 Rh 2.92-2.98
Er: 0.3718 0.3723 0.7534 (multiplicity 2)  6 Rh 2.93-2.96
Rh: 0.0000 0.5000 0.5000 (multiplicity 1)  4 Er 2.94-2.96, 4 Y 2.97-2.98
Rh: 0.2510 0.7513 0.9977 (multiplicity 2)  4 Y 2.92-2.97, 4 Er 2.93-2.95


HfCuGeAs | PBE | relaxed

Output
Uncorrected energy: -6.338 eV per atom
V: 133.2 Å³ per cell
ΔE_f: -2.0 eV/f.u.

Cell: 3.7218 3.7218 9.6190 Å, 90.00 90.00 90.00°
Closest atoms and distances in Å follow each position.
Space group P4/nmm (No. 129, origin choice 2)
Symmetry-distinct sites (fractional):
Hf: 0.2500 0.2500 0.2259 (multiplicity 2)  4 As 2.78, 4 Ge 2.86
Cu: 0.2500 0.7500 0.5000 (multiplicity 2)  4 As 2.54, 4 Cu 2.63
Ge: 0.2500 0.7500 0.0000 (multiplicity 2)  4 Ge 2.63, 4 Hf 2.86
As: 0.2500 0.2500 0.6798 (multiplicity 2)  4 Cu 2.54, 4 Hf 2.78


Zn2Cd2SnRh5 | PBE | relaxed

Output
Uncorrected energy: -4.678 eV per atom
V: 331.3 Å³ per cell
ΔE_f: -1.6 eV/f.u.

Cell: 9.9262 9.9262 3.3623 Å, 90.00 90.00 90.00°
Closest atoms and distances in Å follow each position.
Space group P4/mbm (No. 127)
Symmetry-distinct sites (fractional):
Zn: 0.1294 0.3706 0.0000 (multiplicity 4)  6 Rh 2.48
Cd: 0.1716 0.6716 0.0000 (multiplicity 4)  3 Zn 2.79-3.02, 6 Rh 2.94-3.12
Sn: 0.0000 0.0000 0.0000 (multiplicity 2)  8 Rh 2.67
Rh: 0.0000 0.5000 0.5000 (multiplicity 2)  4 Zn 2.48
Rh: 0.0656 0.1982 0.5000 (multiplicity 8)  2 Zn 2.48, 2 Sn 2.67


AgPd7Au2 | PBE | relaxed

Output
Uncorrected energy: -4.291 eV per atom
V: 374.4 Å³ per cell
ΔE_f: 2.8 eV/f.u.

Cell: 8.6652 15.8800 2.7207 Å, 90.00 90.00 90.00°
Closest atoms and distances in Å follow each position.
Space group Cmmm (No. 65)
Symmetry-distinct sites (fractional):
Ag: 0.0000 0.0000 0.0000 (multiplicity 2)  2 Ag 2.72, 10 Pd 2.77-2.82
Pd: 0.0000 0.1742 0.0000 (multiplicity 4)  6 Pd 2.72-2.78, 2 Au 2.73, 1 Ag 2.77
Pd: 0.0000 0.5000 0.5000 (multiplicity 2)  6 Pd 2.72, 2 Au 2.81
Pd: 0.2328 0.0895 0.5000 (multiplicity 8)  1 Au 2.70, 6 Pd 2.72-2.84, 2 Ag 2.82
Au: 0.0000 0.3232 0.5000 (multiplicity 4)  5 Pd 2.70-2.81, 2 Au 2.72